This record from Alexandria via LeMat-Bulk describes a relaxed Cs2WI4F2 crystal. The functional is PBE with a Hubbard U.

Cell and atoms, written as POSCAR:
```
Cs2WI4F2
1.0
6.6493 -4.2591 0.0000
6.6493 4.2591 0.0000
-4.3473 0.0000 6.5150
Cs W I F
2 1 4 2
Direct
0.2405 0.2405 0.3129
0.7595 0.7595 0.6871
0.5000 0.5000 0.0000
0.2167 0.6923 0.2014
0.3077 0.7833 0.7986
0.6923 0.2167 0.2014
0.7833 0.3077 0.7986
0.3282 0.3282 0.7642
0.6718 0.6718 0.2358
```

Results
Final energy   -3.627 eV per atom